[1]
Computed, not measured: CrTeW2 after structural relaxation at the PBE level of DFT.

The structure in CIF format:
```
data_CrTeW2
_chemical_formula_sum 'Cr1 Te1 W2'
_cell_length_a 3.1081
_cell_length_b 3.1081
_cell_length_c 6.8279
_cell_angle_alpha 90.00
_cell_angle_beta 90.00
_cell_angle_gamma 90.00
_space_group_name_H-M_alt 'P 4/m m m'
_space_group_IT_number 123
_space_group_name_Hall '-P 4 2'
loop_
_atom_site_label
_atom_site_type_symbol
_atom_site_fract_x
_atom_site_fract_y
_atom_site_fract_z
_atom_site_occupancy
Cr1 Cr 0.0000 0.0000 0.0000 1
Te1 Te 0.0000 0.0000 0.5000 1
W1 W 0.5000 0.5000 0.2158 1
```

As for the density of states at the Fermi level: 3.67 states/eV/f.u. The calculation puts the energy relative to the elements, uncorrected at 0.584 eV/atom. Its total energy is -36.34 eV/cell. As for the total magnetization: 0.0000 μB per atom.


[2]
Computed, not measured: SrSi2Ir after structural relaxation at the PBE level of DFT.

The structure in CIF format:
```
data_SrSi2Ir
_chemical_formula_sum 'Sr1 Si2 Ir1'
_cell_length_a 3.0794
_cell_length_b 4.1811
_cell_length_c 6.1472
_cell_angle_alpha 90.00
_cell_angle_beta 90.08
_cell_angle_gamma 90.00
_space_group_name_H-M_alt 'P 1 2/m 1'
_space_group_IT_number 10
loop_
_space_group_symop_operation_xyz
'x,y,z'
'-x,-y,-z'
'-x,y,-z'
'x,-y,z'
loop_
_atom_site_label
_atom_site_type_symbol
_atom_site_fract_x
_atom_site_fract_y
_atom_site_fract_z
_atom_site_occupancy
Sr1 Sr 0.0000 0.0000 0.0000 1
Si1 Si 0.4985 0.5000 0.6990 1
Ir1 Ir 0.5000 0.0000 0.5000 1
```

As for the density of states at the Fermi level: 2.09 states/eV/f.u. The calculation puts the energy relative to the elements, uncorrected at -0.254 eV/atom. Its total energy is -22.41 eV/cell. As for the total magnetization: 0.0000 μB per atom.


[3]
Computed, not measured: SbPPb2 after structural relaxation at the PBE level of DFT.

The structure in CIF format:
```
data_SbPPb2
_chemical_formula_sum 'Sb1 P1 Pb2'
_cell_length_a 3.5713
_cell_length_b 3.5713
_cell_length_c 8.5534
_cell_angle_alpha 90.00
_cell_angle_beta 90.00
_cell_angle_gamma 90.00
_space_group_name_H-M_alt 'P 4 m m'
_space_group_IT_number 99
loop_
_space_group_symop_operation_xyz
'x,y,z'
'-y,x,z'
'-x,-y,z'
'y,-x,z'
'-x,y,z'
'y,x,z'
'x,-y,z'
'-y,-x,z'
loop_
_atom_site_label
_atom_site_type_symbol
_atom_site_fract_x
_atom_site_fract_y
_atom_site_fract_z
_atom_site_occupancy
Sb1 Sb 0.0000 0.0000 0.0000 1
P1 P 0.5000 0.5000 0.1285 1
Pb1 Pb 0.0000 0.0000 0.4038 1
Pb2 Pb 0.5000 0.5000 0.6858 1
```

As for the density of states at the Fermi level: 1.74 states/eV/f.u. The calculation puts the energy relative to the elements, uncorrected at 0.189 eV/atom. Its total energy is -16.19 eV/cell. The value obtained for the energy relative to the lowest polymorph listed for this composition is 0.073 eV per atom. As for the total magnetization: 0.0000 μB per atom.


[4]
Computed, not measured: RbNa3Ge after structural relaxation at the PBE level of DFT.

The structure in CIF format:
```
data_RbNa3Ge
_chemical_formula_sum 'Rb8 Na24 Ge8'
_cell_length_a 17.9020
_cell_length_b 11.2716
_cell_length_c 7.4948
_cell_angle_alpha 90.00
_cell_angle_beta 102.46
_cell_angle_gamma 90.00
_space_group_name_H-M_alt 'C 1 2/c 1'
_space_group_IT_number 15
loop_
_space_group_symop_operation_xyz
'x,y,z'
'-x,-y,-z'
'-x,y,-z+1/2'
'x,-y,z+1/2'
'x+1/2,y+1/2,z'
'-x+1/2,-y+1/2,-z'
'-x+1/2,y+1/2,-z+1/2'
'x+1/2,-y+1/2,z+1/2'
loop_
_atom_site_label
_atom_site_type_symbol
_atom_site_fract_x
_atom_site_fract_y
_atom_site_fract_z
_atom_site_occupancy
Rb1 Rb 0.0000 0.0270 0.2500 1
Rb2 Rb 0.0000 0.3600 0.7500 1
Na1 Na 0.1695 0.4990 0.0847 1
Na2 Na 0.1773 0.1700 0.5809 1
Na3 Na 0.1776 0.1741 0.0949 1
Ge1 Ge 0.0697 0.3289 0.2816 1
```

As for the density of states at the Fermi level: 2.51 states/eV/f.u. The formation energy is 0.58 kJ/mol of atoms. Its total energy is -76.10 eV/cell. The value obtained for the energy relative to the lowest polymorph listed for this composition is 0.017 eV per atom. As for the total magnetization: 0.0000 μB per atom.


[5]
Computed, not measured: KFeCo2 after structural relaxation at the PBE level of DFT.

The structure in CIF format:
```
data_KFeCo2
_chemical_formula_sum 'K1 Fe1 Co2'
_cell_length_a 4.9713
_cell_length_b 4.9713
_cell_length_c 2.5615
_cell_angle_alpha 90.00
_cell_angle_beta 90.00
_cell_angle_gamma 90.00
_space_group_name_H-M_alt 'P 4/m m m'
_space_group_IT_number 123
_space_group_name_Hall '-P 4 2'
loop_
_atom_site_label
_atom_site_type_symbol
_atom_site_fract_x
_atom_site_fract_y
_atom_site_fract_z
_atom_site_occupancy
K1 K 0.0000 0.0000 0.0000 1
Fe1 Fe 0.5000 0.5000 0.0000 1
Co1 Co 0.0000 0.5000 0.5000 1
```

As for the density of states at the Fermi level: 4.07 states/eV/f.u. The formation energy is 113.70 kJ/mol of atoms. Its total energy is -19.06 eV/cell. The value obtained for the energy relative to the lowest polymorph listed for this composition is 0.544 eV per atom. As for the total magnetization: 1.5219 μB per atom.


[6]
Computed, not measured: ZnH2O after structural relaxation at the PBE level of DFT.

The structure in CIF format:
```
data_ZnH2O
_chemical_formula_sum 'Zn1 H2 O1'
_cell_length_a 3.2910
_cell_length_b 3.2921
_cell_length_c 6.5452
_cell_angle_alpha 88.05
_cell_angle_beta 75.67
_cell_angle_gamma 60.01
_space_group_name_H-M_alt 'P 1'
_space_group_IT_number 1
loop_
_space_group_symop_operation_xyz
'x,y,z'
loop_
_atom_site_label
_atom_site_type_symbol
_atom_site_fract_x
_atom_site_fract_y
_atom_site_fract_z
_atom_site_occupancy
Zn1 Zn 0.0000 0.0000 0.0000 1
H1 H 0.7319 0.3651 0.5485 1
H2 H 0.8838 0.4026 0.4516 1
O1 O 0.3336 0.3335 0.9997 1
```

As for the density of states at the Fermi level: 0.00 states/eV/f.u. Its total energy is -15.44 eV/cell. The value obtained for the energy relative to the lowest polymorph listed for this composition is 0.060 eV per atom. As for the total magnetization: 0.0000 μB per atom.


[7]
Computed, not measured: Zr2PaCo after structural relaxation at the PBE level of DFT.

The structure in CIF format:
```
data_Zr2PaCo
_chemical_formula_sum 'Zr6 Pa3 Co3'
_cell_length_a 4.8351
_cell_length_b 4.8351
_cell_length_c 13.1644
_cell_angle_alpha 90.00
_cell_angle_beta 90.00
_cell_angle_gamma 120.00
_space_group_name_H-M_alt 'R 3 m'
_space_group_IT_number 160
_space_group_name_Hall 'R 3 -2"'
loop_
_atom_site_label
_atom_site_type_symbol
_atom_site_fract_x
_atom_site_fract_y
_atom_site_fract_z
_atom_site_occupancy
Zr1 Zr 0.0000 0.0000 0.0000 1
Zr2 Zr 0.0000 0.0000 0.2385 1
Pa1 Pa 0.0000 0.0000 0.4558 1
Co1 Co 0.0000 0.0000 0.6305 1
```

As for the density of states at the Fermi level: 5.70 states/eV/f.u. The formation energy is 14.37 kJ/mol of atoms. Its total energy is -99.31 eV/cell. The value obtained for the energy relative to the lowest polymorph listed for this composition is 0.345 eV per atom. As for the total magnetization: 0.0000 μB per atom.


[8]
Computed, not measured: HoTm3Bi2 after structural relaxation at the PBE level of DFT.

The structure in CIF format:
```
data_HoTm3Bi2
_chemical_formula_sum 'Ho4 Tm12 Bi8'
_cell_length_a 18.3451
_cell_length_b 4.2666
_cell_length_c 9.9373
_cell_angle_alpha 90.00
_cell_angle_beta 113.42
_cell_angle_gamma 90.00
_space_group_name_H-M_alt 'C 1 2/m 1'
_space_group_IT_number 12
loop_
_space_group_symop_operation_xyz
'x,y,z'
'-x,-y,-z'
'-x,y,-z'
'x,-y,z'
'x+1/2,y+1/2,z'
'-x+1/2,-y+1/2,-z'
'-x+1/2,y+1/2,-z'
'x+1/2,-y+1/2,z'
loop_
_atom_site_label
_atom_site_type_symbol
_atom_site_fract_x
_atom_site_fract_y
_atom_site_fract_z
_atom_site_occupancy
Ho1 Ho 0.1104 0.0000 0.1068 1
Tm1 Tm 0.0558 0.0000 0.6690 1
Tm2 Tm 0.1376 0.5000 0.4801 1
Tm3 Tm 0.1885 0.5000 0.8903 1
Bi1 Bi 0.0081 0.5000 0.8417 1
Bi2 Bi 0.2475 0.5000 0.2847 1
```

As for the density of states at the Fermi level: 5.64 states/eV/f.u. The formation energy is -42.08 kJ/mol of atoms. Its total energy is -113.48 eV/cell. The value obtained for the energy relative to the lowest polymorph listed for this composition is 0.102 eV per atom. As for the total magnetization: 0.0000 μB per atom.


Number 6 is which compound? ZnH2O